Compound: LiNdSb
Source: the Alexandria database
Functional: PBE-GGA
Structure: optimized geometry

a b c (Å): 4.4441 4.4435 7.6280
angles (deg): 90.00 90.00 90.00
Atoms (fractional coordinates):
Sb 0.7498 0.2500 0.2682
Sb 0.2502 0.7500 0.7318
Nd 0.7501 0.2500 0.8437
Nd 0.2499 0.7500 0.1563
Li 0.2499 0.2500 0.5000
Li 0.7501 0.7500 0.5000

Results
The space group is P4/nmm (129). The spin magnetization comes out at 0.0 μB/f.u. The value obtained for the total energy is -4.488 eV per atom.


Compound: LiSc2Pt2
Source: the Alexandria database
Functional: PBE-GGA
Structure: optimized geometry

a b c (Å): 7.9124 7.9124 3.0186
angles (deg): 90.00 90.00 90.00
Atoms (fractional coordinates):
Li 0.0000 0.0000 0.0000
Li 0.5000 0.5000 0.0000
Sc 0.3518 0.8518 0.0000
Sc 0.8518 0.6482 0.0000
Sc 0.6482 0.1482 0.0000
Sc 0.1482 0.3518 0.0000
Pt 0.1470 0.6470 0.5000
Pt 0.6470 0.8530 0.5000
Pt 0.3530 0.1470 0.5000
Pt 0.8530 0.3530 0.5000

Results
The space group is P4/mbm (127). The spin magnetization comes out at 0.0 μB/f.u. The value obtained for the total energy is -6.225 eV per atom. The formation energy is -431.0 kJ/mol of formula units.